Entry from Alexandria: Rb3InTe4 after structural relaxation (PBE).

The calculation puts the density at 3.68 g/cm3. The value obtained for the density of states at the Fermi level is 0.314 states/eV/atom. As for the raw formation energy: -0.719 eV per atom.

The structure belongs to space group Imm2 (No. 44); the cell edges are 6.081, 15.364 and 8.511 Å and the angles 90.00°, 90.00° and 90.00°. The inequivalent atoms are Rb at (0.000, 0.000, 0.000), Rb at (0.000, 0.286, 0.789), In at (0.000, 0.500, 0.198), Te at (0.000, 0.347, 0.364) and Te at (0.239, 0.000, 0.412).

=====

Entry from Alexandria: GeSeSN2 after structural relaxation (PBE).

The calculation puts the density at 3.64 g/cm3. The value obtained for the density of states at the Fermi level is 0.680 states/eV/atom. As for the raw formation energy: 1.215 eV per atom. The energy above the most stable polymorph in this dataset is 0 meV per atom.

The structure belongs to space group P4/mmm (No. 123); the cell edges are 3.617, 3.617 and 7.372 Å and the angles 90.00°, 90.00° and 90.00°. The inequivalent atoms are Ge at (0.000, 0.000, 0.000), Se at (0.500, 0.500, 0.500), S at (0.000, 0.000, 0.500) and N at (0.000, 0.500, 0.000).

=====

Entry from Alexandria: BaScTl after structural relaxation (PBE).

The calculation puts the density at 6.18 g/cm3. The value obtained for the density of states at the Fermi level is 1.233 states/eV/atom. The energy above the most stable polymorph in this dataset is 378 meV per atom. The energy relative to the elements comes out at 29 kJ/mol of formula units.

The structure belongs to space group P3m1 (No. 156); the cell edges are 3.8220, 3.8220 and 8.2118 Å and the angles 90.00°, 90.00° and 120.00°. The inequivalent atoms are Ba at (0.0000, 0.0000, 0.0000), Sc at (0.6667, 0.3333, 0.3932) and Tl at (0.3333, 0.6667, 0.6538).

=====

Entry from Alexandria: PmSmYTm2 after structural relaxation (PBE).

The calculation puts the density at 6.98 g/cm3. The value obtained for the density of states at the Fermi level is 1.713 states/eV/atom. The energy relative to the elements comes out at 186 kJ/mol of formula units.

The structure belongs to space group Cmcm (No. 63); the cell edges are 8.351, 11.481 and 7.166 Å and the angles 90.00°, 90.00° and 90.00°. The inequivalent atoms are Pm at (0.000, 0.011, 0.250), Sm at (0.000, 0.280, 0.250), Y at (0.000, 0.272, 0.750) and Tm at (0.187, 0.500, 0.000).

=====

Entry from Alexandria: SrCoBr after structural relaxation (PBE).

The calculation puts the density at 4.04 g/cm3. The value obtained for the density of states at the Fermi level is 2.453 states/eV/atom. As for the raw formation energy: 0.194 eV per atom.

The structure belongs to space group F-43m (No. 216); the cell edges are 7.192, 7.192 and 7.192 Å and the angles 90.00°, 90.00° and 90.00°. The inequivalent atoms are Sr at (0.000, 0.000, 0.000), Co at (0.000, 0.000, 0.500) and Br at (0.250, 0.250, 0.750).

=====

Entry from Alexandria: V12Ga5Si2 after structural relaxation (PBE).

The calculation puts the density at 6.24 g/cm3. The value obtained for the density of states at the Fermi level is 0.908 states/eV/atom. As for the raw formation energy: -0.106 eV per atom.

The structure belongs to space group C2/m (No. 12); the cell edges are 11.010, 7.660 and 6.415 Å and the angles 90.00°, 90.80° and 90.00°. The inequivalent atoms are V at (0.047, 0.000, 0.205), V at (0.093, 0.500, 0.609), V at (0.104, 0.210, 0.878), V at (0.153, 0.304, 0.260), Ga at (0.000, 0.500, 0.000), Ga at (0.183, 0.000, 0.552), Ga at (0.237, 0.500, 0.932) and Si at (0.000, 0.214, 0.500).

=====

- Which value of density does entry 4 give?
  6.98 g/cm3

=====

- Number 4 is which compound?
  PmSmYTm2